1.
## InP2Rh (PBE)

Data for InP2Rh after structural relaxation.

Cell and atoms, written as POSCAR:
```
InP2Rh
1.0
6.4461 0.0000 0.0000
0.0000 6.4461 0.0000
0.0000 0.0000 6.4461
In P Rh
4 8 4
Cartesian
0.0000 0.0000 0.0000
0.0000 3.2231 3.2231
3.2231 0.0000 3.2231
3.2231 3.2231 0.0000
0.0000 0.0000 3.2231
0.0000 3.2231 0.0000
1.6115 1.6115 1.6115
1.6115 4.8346 4.8346
3.2231 0.0000 0.0000
3.2231 3.2231 3.2231
4.8346 1.6115 4.8346
4.8346 4.8346 1.6115
1.6115 1.6115 4.8346
1.6115 4.8346 1.6115
4.8346 1.6115 1.6115
4.8346 4.8346 4.8346
```

***

2.
## In2PRh2 (PBE)

Data for In2PRh2 after structural relaxation.

Cell and atoms, written as POSCAR:
```
In2PRh2
1.0
6.4343 0.0000 0.0000
0.0000 6.4343 0.0000
0.0000 0.0000 4.2446
In P Rh
4 2 4
Cartesian
1.0003 2.2168 0.0000
2.2168 5.4340 0.0000
4.2175 1.0003 0.0000
5.4340 4.2175 0.0000
0.0000 0.0000 2.1223
3.2171 3.2171 2.1223
1.0560 4.2731 2.1223
2.1612 1.0560 2.1223
4.2731 5.3783 2.1223
5.3783 2.1612 2.1223
```

***

3.
## In4P2Rh (PBE)

Data for In4P2Rh after structural relaxation.

Cell and atoms, written as POSCAR:
```
In4P2Rh
1.0
5.1933 0.0000 0.0000
0.0000 5.1933 0.0000
0.0000 0.0000 13.3824
In P Rh
8 4 2
Cartesian
0.0000 0.0000 2.5685
0.0000 0.0000 10.8140
0.0000 2.5967 0.0000
0.0000 2.5967 6.6912
2.5967 0.0000 0.0000
2.5967 0.0000 6.6912
2.5967 2.5967 4.1227
2.5967 2.5967 9.2597
0.0000 0.0000 5.0751
0.0000 0.0000 8.3073
2.5967 2.5967 1.6161
2.5967 2.5967 11.7663
0.0000 0.0000 0.0000
2.5967 2.5967 6.6912
```

***

no.,energy relative to the elements (eV/atom),V (Å³/atom),density of states at the Fermi level (states/eV per atom)
1,0.3963,16.7,0.63
2,-0.2270,17.6,0.84
3,0.1988,25.8,0.55